Here is crystalline PmTc2P2 at its relaxed geometry from Alexandria. Energies are from PBE.

Summary:
DFT formation energy   -0.902 eV/atom
Total magnetization   0.00 μB/cell
Density   7.9 Mg/m³
N(E_F)   0.753 states/eV/atom

CIF file:
```
data_PmTc2P2
_chemical_formula_sum 'Pm1 Tc2 P2'
_cell_length_a 5.6940
_cell_length_b 5.6940
_cell_length_c 5.6940
_cell_angle_alpha 136.96
_cell_angle_beta 136.96
_cell_angle_gamma 62.51
_symmetry_space_group_name_H-M 'P 1'
_symmetry_Int_Tables_number 1
loop_
_symmetry_equiv_pos_as_xyz
'x,y,z'
loop_
_atom_site_label
_atom_site_type_symbol
_atom_site_fract_x
_atom_site_fract_y
_atom_site_fract_z
Pm1 Pm 0.0000 0.0000 0.0000
Tc1 Tc 0.2500 0.7500 0.5000
Tc2 Tc 0.7500 0.2500 0.5000
P1 P 0.3641 0.3641 0.0000
P2 P 0.6359 0.6359 0.0000
```